No. 1
## AsS4N2 (PBE)

Data for a relaxed AsS4N2 crystal.

Unit cell a=7.6653 b=7.6653 c=7.6653 alpha=143.53 beta=143.53 gamma=52.54
Element x y z (fractional)
As 0.0000 0.0000 0.0000
S 0.0000 0.5000 0.5000
S 0.2885 0.2885 0.0000
S 0.5000 0.0000 0.5000
S 0.7115 0.7115 0.0000
N 0.3989 0.3989 0.0000
N 0.6011 0.6011 0.0000

space group = I4/mmm, No. 139
raw formation energy = 943 meV per atom



No. 2
## CuRh2W (PBE)

Data for a relaxed CuRh2W crystal.

Unit cell a=4.3290 b=4.3290 c=4.3290 alpha=60.00 beta=60.00 gamma=60.00
Element x y z (fractional)
Cu 0.0000 0.0000 0.0000
Rh 0.5000 0.5000 0.5000
Rh 0.7500 0.7500 0.7500
W 0.2500 0.2500 0.2500

relative energy among the computed polymorphs = 410 meV/atom
space group = F-43m, No. 216



No. 3
## LiSm2Al4 (PBE)

Data for a relaxed LiSm2Al4 crystal.

Unit cell a=8.2915 b=8.2915 c=8.2915 alpha=148.54 beta=148.54 gamma=45.09
Element x y z (fractional)
Li 0.0000 0.0000 0.0000
Sm 0.3544 0.3544 0.0000
Sm 0.6456 0.6456 0.0000
Al 0.0000 0.5000 0.5000
Al 0.1537 0.1537 0.0000
Al 0.5000 0.0000 0.5000
Al 0.8463 0.8463 0.0000

uncorrected energy = -3.8371 eV/atom
space group = I4/mmm, No. 139



| no. | density of states at the Fermi level (states/eV per cell) |
| --- | --- |
| 1 | 3.47 |
| 2 | 5.49 |
| 3 | 2.97 |